Model P:
Below is a geometry-optimized Mg2OF structure, with properties calculated at the GGA-PBE level.

As for the density of states at the Fermi level: 2.82 states/eV/cell.

The space group is I-42d (No. 122) and the conventional cell measures 4.888, 4.888 and 9.628 Å, with angles of 90.00, 90.00 and 90.00 degrees. The asymmetric unit holds Mg at (0.218, 0.250, 0.125), O at (0.000, 0.000, 0.000) and F at (0.000, 0.000, 0.500).



Model Q:
Below is a geometry-optimized Mg2OF structure, with properties calculated at the GGA-PBE level.

As for the density of states at the Fermi level: 4.15 states/eV/cell.

The space group is Fm-3m (No. 225) and the conventional cell measures 5.769, 5.769 and 5.769 Å, with angles of 90.00, 90.00 and 90.00 degrees. The asymmetric unit holds Mg at (0.250, 0.250, 0.250), O at (0.000, 0.000, 0.000) and F at (0.000, 0.000, 0.500).



Which of them is the most stable? Correct choice: model P.



Model P:
Below is a geometry-optimized MgOF2 structure, with properties calculated at the GGA-PBE level.

As for the density of states at the Fermi level: 10.58 states/eV/cell.

The space group is Fm-3m (No. 225) and the conventional cell measures 5.412, 5.412 and 5.412 Å, with angles of 90.00, 90.00 and 90.00 degrees. The asymmetric unit holds Mg at (0.000, 0.000, 0.000), O at (0.000, 0.000, 0.500) and F at (0.250, 0.250, 0.250).



Model Q:
Below is a geometry-optimized MgOF2 structure, with properties calculated at the GGA-PBE level.

As for the density of states at the Fermi level: 1.32 states/eV/cell.

The space group is Imm2 (No. 44) and the conventional cell measures 2.760, 2.955 and 14.081 Å, with angles of 90.00, 90.00 and 90.00 degrees. The asymmetric unit holds Mg at (0.000, 0.000, 0.000), O at (0.000, 0.500, 0.737), F at (0.000, 0.000, 0.556) and F at (0.000, 0.500, 0.409).



Which of them is the most stable? Correct choice: model Q.